# 1
This record from Alexandria describes NiHg2Se after structural relaxation. The functional is PBE.

Lattice parameters (Å, degrees): 4.214 4.217 4.371 90.00 90.00 90.00
Fractional positions:
Ni 0.000 0.000 0.000
Hg 0.000 0.500 0.500
Hg 0.500 0.500 0.000
Se 0.500 0.000 0.500

Output
- symmetry = Pmmm
- E_form (uncorrected) (eV per formula unit) = 1.591
- M_tot (μB per cell) = 0.00
- DOS(E_F) (states/eV/f.u.) = 2.9

---

# 2
This record from Alexandria describes NiHg2Se after structural relaxation. The functional is PBE.

Lattice parameters (Å, degrees): 8.237 8.237 8.237 25.03 25.03 25.03
Fractional positions:
Ni 0.000 0.000 0.000
Hg 0.254 0.254 0.254
Hg 0.488 0.488 0.488
Se 0.712 0.712 0.712

Output
- symmetry = R3m
- E_form (uncorrected) (eV per formula unit) = -0.088
- M_tot (μB per cell) = 0.00
- DOS(E_F) (states/eV/f.u.) = 2.7

---

# 3
This record from Alexandria describes NiHg2Se after structural relaxation. The functional is PBE.

Lattice parameters (Å, degrees): 2.963 2.963 9.236 90.00 90.00 90.10
Fractional positions:
Ni 0.000 0.000 0.000
Hg 0.500 0.500 0.193
Hg 0.500 0.500 0.807
Se 0.000 0.000 0.500

Output
- symmetry = Cmmm
- E_form (uncorrected) (eV per formula unit) = 1.061
- M_tot (μB per cell) = 0.00
- DOS(E_F) (states/eV/f.u.) = 0.9

---

# 4
This record from Alexandria describes NiHg2Se after structural relaxation. The functional is PBE.

Lattice parameters (Å, degrees): 4.701 4.049 4.713 90.00 106.68 90.00
Fractional positions:
Ni 0.000 0.000 0.000
Hg 0.220 0.500 0.779
Hg 0.780 0.500 0.221
Se 0.500 0.000 0.500

Output
- symmetry = P2/m
- E_form (uncorrected) (eV per formula unit) = 0.972
- M_tot (μB per cell) = 0.00
- DOS(E_F) (states/eV/f.u.) = 1.7

---

# 5
This record from Alexandria describes NiHg2Se after structural relaxation. The functional is PBE.

Lattice parameters (Å, degrees): 3.186 3.186 9.902 90.00 90.00 90.00
Fractional positions:
Ni 0.000 0.000 0.000
Hg 0.000 0.000 0.276
Hg 0.500 0.500 0.574
Se 0.500 0.500 0.921

Output
- symmetry = P4mm
- E_form (uncorrected) (eV per formula unit) = -0.084
- M_tot (μB per cell) = 0.00
- DOS(E_F) (states/eV/f.u.) = 0.8

---

# 6
This record from Alexandria describes NiHg2Se after structural relaxation. The functional is PBE.

Lattice parameters (Å, degrees): 6.987 6.987 6.987 95.67 95.67 143.36
Fractional positions:
Ni 0.000 0.000 0.000
Ni 0.750 0.250 0.500
Hg 0.018 0.625 0.893
Hg 0.375 0.268 0.393
Hg 0.732 0.125 0.107
Hg 0.875 0.982 0.607
Se 0.250 0.750 0.500
Se 0.500 0.500 0.000

Output
- symmetry = I-42d
- E_form (uncorrected) (eV per formula unit) = 0.406
- M_tot (μB per cell) = 0.00
- DOS(E_F) (states/eV/f.u.) = 1.1

---

# 7
This record from Alexandria describes NiHg2Se after structural relaxation. The functional is PBE.

Lattice parameters (Å, degrees): 3.144 3.144 9.990 90.00 90.00 90.00
Fractional positions:
Ni 0.000 0.000 0.000
Hg 0.000 0.000 0.416
Hg 0.500 0.500 0.729
Se 0.500 0.500 0.083

Output
- symmetry = P4mm
- E_form (uncorrected) (eV per formula unit) = 0.092
- M_tot (μB per cell) = 0.00
- DOS(E_F) (states/eV/f.u.) = 1.1

---

# 8
This record from Alexandria describes Ni2HgSe2 after structural relaxation. The functional is PBE.

Lattice parameters (Å, degrees): 8.036 8.036 8.036 152.53 152.53 39.24
Fractional positions:
Ni 0.250 0.750 0.500
Ni 0.750 0.250 0.500
Hg 0.000 0.000 0.000
Se 0.340 0.340 0.000
Se 0.660 0.660 0.000

Output
- symmetry = I4/mmm
- E_form (uncorrected) (eV per formula unit) = -0.862
- M_tot (μB per cell) = 0.00
- DOS(E_F) (states/eV/f.u.) = 4.9